(1)
# TlMo

Crystalline TlMo at its relaxed geometry (PBE-GGA, the Alexandria database).

Unit cell a=3.0729 b=3.0729 c=4.7438 alpha=90.00 beta=90.00 gamma=120.00
Fractional coordinates of all 2 atoms:
Mo 0.0000 0.0000 0.0000
Tl 0.6667 0.3333 0.5000

Calculated values
The calculation puts the total magnetization at 0.00 μB per formula unit. For the volume, the calculation gives 38.8 Å³/cell. As for the space-group type: P-6m2. As for the energy of formation: 0.82 eV/atom.

(2)
# TlMo

Crystalline TlMo at its relaxed geometry (PBE-GGA, the Alexandria database).

Unit cell a=10.4219 b=10.4219 c=3.1467 alpha=90.00 beta=90.00 gamma=90.00
Fractional coordinates of all 16 atoms:
Mo 0.8585 0.5272 0.0000
Tl 0.8343 0.1399 0.0000
Tl 0.8601 0.8343 0.0000
Tl 0.1399 0.1657 0.0000
Tl 0.3343 0.6399 0.5000
Mo 0.0272 0.6415 0.5000
Mo 0.6415 0.9728 0.5000
Tl 0.3601 0.3343 0.5000
Mo 0.4728 0.8585 0.0000
Mo 0.9728 0.3585 0.5000
Tl 0.6399 0.6657 0.5000
Mo 0.5272 0.1415 0.0000
Tl 0.1657 0.8601 0.0000
Mo 0.3585 0.0272 0.5000
Mo 0.1415 0.4728 0.0000
Tl 0.6657 0.3601 0.5000

Calculated values
The calculation puts the total magnetization at 0.00 μB per formula unit. For the volume, the calculation gives 341.8 Å³/cell. As for the space-group type: I4/m. As for the energy of formation: 0.46 eV/atom.

(3)
# Tl2Mo

Crystalline Tl2Mo at its relaxed geometry (PBE-GGA, the Alexandria database).

Unit cell a=5.1467 b=5.1467 c=6.2325 alpha=90.00 beta=90.00 gamma=120.00
Each line ends with the local moment (μB).
Fractional coordinates of all 6 atoms:
Tl 0.0000 0.0000 0.0000  0.00
Mo 0.6667 0.3333 0.2500  2.64
Tl 0.6667 0.3333 0.7500  -0.01
Tl 0.0000 0.0000 0.5000  0.00
Tl 0.3333 0.6667 0.2500  -0.01
Mo 0.3333 0.6667 0.7500  2.64

Calculated values
The calculation puts the total magnetization at 3.03 μB per formula unit. For the volume, the calculation gives 143.0 Å³/cell. As for the space-group type: P6_3/mmc. As for the energy of formation: 1.07 eV/atom.

(4)
# Tl3Mo

Crystalline Tl3Mo at its relaxed geometry (PBE-GGA, the Alexandria database).

Unit cell a=5.1128 b=3.1761 c=6.2423 alpha=69.70 beta=90.00 gamma=90.00
Fractional coordinates of all 4 atoms:
Mo 0.0000 0.0000 0.0000
Tl 0.5000 0.1325 0.2318
Tl 0.0000 0.5000 0.5000
Tl 0.5000 0.8675 0.7682

Calculated values
The calculation puts the total magnetization at 0.00 μB per formula unit. For the volume, the calculation gives 95.1 Å³/cell. As for the space-group type: P2/m. As for the energy of formation: 0.71 eV/atom.

(5)
# TlMo

Crystalline TlMo at its relaxed geometry (PBE-GGA, the Alexandria database).

Unit cell a=2.9597 b=2.9597 c=4.4437 alpha=90.00 beta=90.00 gamma=90.00
Each line ends with the local moment (μB).
Fractional coordinates of all 2 atoms:
Mo 0.0000 0.0000 0.0000  0.47
Tl 0.5000 0.5000 0.5000  0.00

Calculated values
The calculation puts the total magnetization at 0.53 μB per formula unit. For the volume, the calculation gives 38.9 Å³/cell. As for the space-group type: P4/mmm. As for the energy of formation: 0.99 eV/atom.

(6)
# TlMo

Crystalline TlMo at its relaxed geometry (PBE-GGA, the Alexandria database).

Unit cell a=7.0782 b=7.0782 c=6.9629 alpha=65.69 beta=65.69 gamma=25.15
Fractional coordinates of all 6 atoms:
Mo 0.5579 0.5579 0.1592
Mo 0.9627 0.9627 0.0210
Tl 0.0466 0.0466 0.5461
Tl 0.3129 0.3129 0.4068
Mo 0.6561 0.6561 0.7748
Tl 0.2972 0.2972 0.9255

Calculated values
The calculation puts the total magnetization at 0.00 μB per formula unit. For the volume, the calculation gives 134.4 Å³/cell. As for the space-group type: Cm. As for the energy of formation: 0.58 eV/atom.

(7)
# TlMo3

Crystalline TlMo3 at its relaxed geometry (PBE-GGA, the Alexandria database).

Unit cell a=4.2808 b=2.9145 c=6.2068 alpha=68.31 beta=90.00 gamma=90.00
Fractional coordinates of all 4 atoms:
Mo 0.0000 0.9522 0.9552
Mo 0.0000 0.5478 0.5448
Mo 0.5000 0.7500 0.7500
Tl 0.5000 0.2500 0.2500

Calculated values
The calculation puts the total magnetization at 0.00 μB per formula unit. For the volume, the calculation gives 72.0 Å³/cell. As for the space-group type: P2/m. As for the energy of formation: 0.50 eV/atom.

(8)
# Tl2Mo

Crystalline Tl2Mo at its relaxed geometry (PBE-GGA, the Alexandria database).

Unit cell a=5.7352 b=5.7352 c=5.7352 alpha=104.70 beta=104.70 gamma=119.50
Fractional coordinates of all 6 atoms:
Mo 0.2500 0.2500 0.0000
Tl 0.1942 0.3058 0.5000
Tl 0.8058 0.6942 0.5000
Mo 0.7500 0.7500 0.0000
Tl 0.6942 0.1942 0.8884
Tl 0.3058 0.8058 0.1116

Calculated values
The calculation puts the total magnetization at 0.00 μB per formula unit. For the volume, the calculation gives 141.8 Å³/cell. As for the space-group type: I4/mcm. As for the energy of formation: 0.51 eV/atom.

(9)
# Tl8Mo

Crystalline Tl8Mo at its relaxed geometry (PBE-GGA, the Alexandria database).

Unit cell a=7.7268 b=7.7268 c=7.7268 alpha=95.41 beta=95.41 gamma=144.22
Each line ends with the local moment (μB).
Fractional coordinates of all 9 atoms:
Tl 0.6772 0.0000 0.6772  0.00
Tl 0.0000 0.6772 0.6772  0.00
Tl 0.6572 0.3428 0.0000  0.00
Tl 0.0000 0.3228 0.3228  0.00
Tl 0.3428 0.6572 0.0000  0.00
Tl 0.3428 0.3428 0.6856  0.00
Tl 0.6572 0.6572 0.3144  0.00
Mo 0.0000 0.0000 0.0000  2.90
Tl 0.3228 0.0000 0.3228  0.00

Calculated values
The calculation puts the total magnetization at 3.35 μB per formula unit. For the volume, the calculation gives 256.7 Å³/cell. As for the space-group type: I4/mmm. As for the energy of formation: 0.39 eV/atom.

(10)
# TlMo

Crystalline TlMo at its relaxed geometry (PBE-GGA, the Alexandria database).

Unit cell a=3.1708 b=6.8407 c=12.7827 alpha=90.00 beta=90.00 gamma=90.00
Fractional coordinates of all 12 atoms:
Mo 0.0000 0.7551 0.0000
Tl 0.0000 0.6277 0.5000
Mo 0.5000 0.9706 0.1015
Tl 0.5000 0.3723 0.0000
Tl 0.5000 0.2966 0.7443
Tl 0.0000 0.7034 0.7557
Mo 0.5000 0.9706 0.8985
Tl 0.0000 0.7034 0.2443
Mo 0.0000 0.0294 0.6015
Mo 0.0000 0.0294 0.3985
Mo 0.5000 0.2449 0.5000
Tl 0.5000 0.2966 0.2557

Calculated values
The calculation puts the total magnetization at 0.00 μB per formula unit. For the volume, the calculation gives 277.3 Å³/cell. As for the space-group type: Pmmn. As for the energy of formation: 0.67 eV/atom.

(11)
# Tl2Mo

Crystalline Tl2Mo at its relaxed geometry (PBE-GGA, the Alexandria database).

Unit cell a=3.1867 b=3.1867 c=7.6066 alpha=90.00 beta=90.00 gamma=120.00
Fractional coordinates of all 3 atoms:
Mo 0.0000 0.0000 0.0000
Tl 0.3333 0.6667 0.3110
Tl 0.6667 0.3333 0.6890

Calculated values
The calculation puts the total magnetization at 0.00 μB per formula unit. For the volume, the calculation gives 66.9 Å³/cell. As for the space-group type: P-3m1. As for the energy of formation: 0.78 eV/atom.

(12)
# Tl3Mo4

Crystalline Tl3Mo4 at its relaxed geometry (PBE-GGA, the Alexandria database).

Unit cell a=13.5028 b=13.5028 c=13.5028 alpha=166.12 beta=166.12 gamma=19.68
Fractional coordinates of all 7 atoms:
Mo 0.8802 0.8802 0.0000
Mo 0.5717 0.5717 0.0000
Tl 0.3030 0.3030 0.0000
Tl 0.0000 0.0000 0.0000
Tl 0.6970 0.6970 0.0000
Mo 0.1198 0.1198 0.0000
Mo 0.4283 0.4283 0.0000

Calculated values
The calculation puts the total magnetization at 0.00 μB per formula unit. For the volume, the calculation gives 141.6 Å³/cell. As for the space-group type: I4/mmm. As for the energy of formation: 0.49 eV/atom.

(13)
# TlMo2

Crystalline TlMo2 at its relaxed geometry (PBE-GGA, the Alexandria database).

Unit cell a=7.2309 b=7.2309 c=4.9551 alpha=90.00 beta=90.00 gamma=154.04
Fractional coordinates of all 6 atoms:
Tl 0.7502 0.2498 0.2500
Mo 0.9309 0.0691 0.7500
Mo 0.4311 0.5689 0.2500
Mo 0.5689 0.4311 0.7500
Mo 0.0691 0.9309 0.2500
Tl 0.2498 0.7502 0.7500

Calculated values
The calculation puts the total magnetization at 0.00 μB per formula unit. For the volume, the calculation gives 113.4 Å³/cell. As for the space-group type: Cmcm. As for the energy of formation: 0.54 eV/atom.

(14)
# TlMo2

Crystalline TlMo2 at its relaxed geometry (PBE-GGA, the Alexandria database).

Unit cell a=5.4937 b=5.4937 c=7.3547 alpha=67.12 beta=67.12 gamma=33.61
Fractional coordinates of all 6 atoms:
Tl 0.8384 0.8384 0.1102
Mo 0.4813 0.4813 0.7205
Mo 0.8460 0.8460 0.5390
Mo 0.1540 0.1540 0.4610
Mo 0.5187 0.5187 0.2795
Tl 0.1616 0.1616 0.8898

Calculated values
The calculation puts the total magnetization at 0.00 μB per formula unit. For the volume, the calculation gives 112.3 Å³/cell. As for the space-group type: C2/m. As for the energy of formation: 0.50 eV/atom.

(15)
# Tl4Mo5

Crystalline Tl4Mo5 at its relaxed geometry (PBE-GGA, the Alexandria database).

Unit cell a=8.3604 b=8.3604 c=5.5888 alpha=90.00 beta=90.00 gamma=120.00
Fractional coordinates of all 18 atoms:
Tl 0.3707 0.0000 0.2500
Mo 0.0000 0.7003 0.2500
Mo 0.6667 0.3333 0.5000
Tl 0.0000 0.0000 0.5000
Mo 0.6667 0.3333 0.0000
Tl 0.6293 0.0000 0.7500
Tl 0.6293 0.6293 0.2500
Mo 0.3333 0.6667 0.0000
Mo 0.0000 0.2997 0.7500
Mo 0.7003 0.0000 0.2500
Tl 0.0000 0.0000 0.0000
Mo 0.7003 0.7003 0.7500
Mo 0.3333 0.6667 0.5000
Tl 0.0000 0.6293 0.7500
Tl 0.3707 0.3707 0.7500
Tl 0.0000 0.3707 0.2500
Mo 0.2997 0.2997 0.2500
Mo 0.2997 0.0000 0.7500

Calculated values
The calculation puts the total magnetization at 0.00 μB per formula unit. For the volume, the calculation gives 338.3 Å³/cell. As for the space-group type: P6_3/mcm. As for the energy of formation: 0.91 eV/atom.

(16)
# TlMo

Crystalline TlMo at its relaxed geometry (PBE-GGA, the Alexandria database).

Unit cell a=5.0489 b=5.0489 c=5.0489 alpha=35.51 beta=35.51 gamma=35.51
Fractional coordinates of all 2 atoms:
Mo 0.0000 0.0000 0.0000
Tl 0.5000 0.5000 0.5000

Calculated values
The calculation puts the total magnetization at 0.00 μB per formula unit. For the volume, the calculation gives 38.8 Å³/cell. As for the space-group type: R-3m. As for the energy of formation: 0.86 eV/atom.

(17)
# TlMo

Crystalline TlMo at its relaxed geometry (PBE-GGA, the Alexandria database).

Unit cell a=4.1590 b=4.1590 c=13.6440 alpha=90.00 beta=90.00 gamma=120.00
Fractional coordinates of all 8 atoms:
Mo 0.0000 0.0000 0.7500
Mo 0.3333 0.6667 0.7500
Tl 0.6667 0.3333 0.5926
Mo 0.0000 0.0000 0.2500
Tl 0.6667 0.3333 0.9074
Tl 0.3333 0.6667 0.0926
Mo 0.6667 0.3333 0.2500
Tl 0.3333 0.6667 0.4074

Calculated values
The calculation puts the total magnetization at 0.00 μB per formula unit. For the volume, the calculation gives 204.4 Å³/cell. As for the space-group type: P6_3/mmc. As for the energy of formation: 0.81 eV/atom.

(18)
# TlMo

Crystalline TlMo at its relaxed geometry (PBE-GGA, the Alexandria database).

Unit cell a=8.4321 b=8.4321 c=4.6621 alpha=90.00 beta=90.00 gamma=120.00
Fractional coordinates of all 12 atoms:
Tl 0.1994 0.3988 0.7500
Tl 0.6012 0.8006 0.7500
Tl 0.1994 0.8006 0.7500
Tl 0.8006 0.1994 0.2500
Mo 0.5610 0.1221 0.7500
Mo 0.1221 0.5610 0.2500
Mo 0.4390 0.5610 0.2500
Mo 0.8779 0.4390 0.7500
Tl 0.3988 0.1994 0.2500
Mo 0.4390 0.8779 0.2500
Mo 0.5610 0.4390 0.7500
Tl 0.8006 0.6012 0.2500

Calculated values
The calculation puts the total magnetization at 0.00 μB per formula unit. For the volume, the calculation gives 287.1 Å³/cell. As for the space-group type: P6_3/mmc. As for the energy of formation: 0.64 eV/atom.

(19)
# Tl2Mo

Crystalline Tl2Mo at its relaxed geometry (PBE-GGA, the Alexandria database).

Unit cell a=5.6264 b=5.6264 c=10.9516 alpha=90.00 beta=90.00 gamma=120.00
Fractional coordinates of all 12 atoms:
Tl 0.0000 0.0000 0.5000
Mo 0.6667 0.3333 0.0153
Tl 0.8316 0.1684 0.2500
Mo 0.3333 0.6667 0.9847
Tl 0.8316 0.6633 0.2500
Tl 0.1684 0.3367 0.7500
Tl 0.6633 0.8316 0.7500
Mo 0.6667 0.3333 0.4847
Tl 0.3367 0.1684 0.2500
Tl 0.1684 0.8316 0.7500
Tl 0.0000 0.0000 0.0000
Mo 0.3333 0.6667 0.5153

Calculated values
The calculation puts the total magnetization at 0.00 μB per formula unit. For the volume, the calculation gives 300.2 Å³/cell. As for the space-group type: P6_3/mmc. As for the energy of formation: 1.32 eV/atom.

(20)
# Tl2Mo

Crystalline Tl2Mo at its relaxed geometry (PBE-GGA, the Alexandria database).

Unit cell a=8.4803 b=8.4803 c=5.0459 alpha=90.00 beta=90.00 gamma=158.09
Fractional coordinates of all 6 atoms:
Tl 0.8654 0.1346 0.2500
Tl 0.1346 0.8654 0.7500
Mo 0.7786 0.2214 0.7500
Tl 0.5617 0.4383 0.2500
Tl 0.4383 0.5617 0.7500
Mo 0.2214 0.7786 0.2500

Calculated values
The calculation puts the total magnetization at 0.00 μB per formula unit. For the volume, the calculation gives 135.4 Å³/cell. As for the space-group type: Cmcm. As for the energy of formation: 0.71 eV/atom.